Computed, not measured: an optimized crystal structure of KTlSb at the GGA-PBE level of DFT.

Lattice parameters (Å, degrees): 4.8331 10.3318 8.8765 90.00 90.00 90.00
Space group Imm2 (No. 44)
Symmetry-distinct sites (fractional):
K  0.0000  0.0000  0.0000 [2 per cell]
K  0.0000  0.5000  0.1074 [2 per cell]
Tl  0.0000  0.3372  0.7446 [4 per cell]
Sb  0.0000  0.2505  0.4139 [4 per cell]

Results
- crystal system = orthorhombic
- excess energy over the best structure of this formula in the dataset (eV/atom) = 0.042

Computed, not measured: an optimized crystal structure of TcTeSe at the GGA-PBE level of DFT.

Lattice parameters (Å, degrees): 3.1230 3.1230 13.4864 90.00 90.00 90.00
Space group I4mm (No. 107)
Symmetry-distinct sites (fractional):
Tc  0.0000  0.0000  0.0000 [2 per cell]
Te  0.0000  0.0000  0.6361 [2 per cell]
Se  0.0000  0.0000  0.3924 [2 per cell]

Results
- crystal system = tetragonal
- excess energy over the best structure of this formula in the dataset (eV/atom) = 0.305

Computed, not measured: an optimized crystal structure of Si2TcAuS at the GGA-PBE level of DFT.

Lattice parameters (Å, degrees): 4.5323 4.5323 5.2885 90.00 90.00 90.00
Space group P4/mmm (No. 123)
Symmetry-distinct sites (fractional):
Si  0.0000  0.5000  0.0000 [2 per cell]
Tc  0.0000  0.0000  0.0000 [1 per cell]
Au  0.0000  0.0000  0.5000 [1 per cell]
S  0.5000  0.5000  0.5000 [1 per cell]

Results
- crystal system = tetragonal
- total DFT energy (no corrections) (eV per atom) = -4.878

Computed, not measured: an optimized crystal structure of YTm12In6 at the GGA-PBE level of DFT.

Lattice parameters (Å, degrees): 13.7808 13.7808 10.9786 90.00 90.00 120.00
Space group R-3m (No. 166, hexagonal axes)
Symmetry-distinct sites (fractional):
Y  0.0000  0.0000  0.0000 [3 per cell]
Tm  0.0000  0.3749  0.5000 [18 per cell]
Tm  0.0883  0.1765  0.3554 [18 per cell]
In  0.0299  0.5149  0.2723 [18 per cell]

Results
- crystal system = trigonal
- formation energy (eV/atom) = -0.016

Computed, not measured: an optimized crystal structure of Tl2Cu3SnCl8 at the GGA-PBE level of DFT.

Lattice parameters (Å, degrees): 7.4815 7.4815 25.1855 90.00 90.00 120.00
Space group R3m (No. 160, hexagonal axes)
Symmetry-distinct sites (fractional):
Tl  0.0000  0.0000  0.0000 [3 per cell]
Tl  0.0000  0.0000  0.3447 [3 per cell]
Cu  0.0323  0.5161  0.8709 [9 per cell]
Sn  0.0000  0.0000  0.7053 [3 per cell]
Cl  0.0000  0.0000  0.1488 [3 per cell]
Cl  0.0000  0.0000  0.5418 [3 per cell]
Cl  0.0102  0.5051  0.5817 [9 per cell]
Cl  0.1729  0.3458  0.4268 [9 per cell]

Results
- crystal system = trigonal
- total DFT energy (no corrections) (eV per atom) = -3.226

Computed, not measured: an optimized crystal structure of NaPm6S8 at the GGA-PBE level of DFT.

Lattice parameters (Å, degrees): 11.3611 11.3611 11.3611 90.00 90.00 90.00
Space group Fm-3m (No. 225)
Symmetry-distinct sites (fractional):
Na  0.0000  0.0000  0.0000 [4 per cell]
Pm  0.0000  0.2500  0.2500 [24 per cell]
S  0.0000  0.0000  0.2499 [24 per cell]
S  0.2500  0.2500  0.2500 [8 per cell]

Results
- crystal system = cubic
- excess energy over the best structure of this formula in the dataset (eV/atom) = 0.000

Computed, not measured: an optimized crystal structure of RbAg2Te at the GGA-PBE level of DFT.

Lattice parameters (Å, degrees): 5.5555 5.5555 19.9440 90.00 90.00 90.00
Space group I-42d (No. 122)
Symmetry-distinct sites (fractional):
Rb  0.0000  0.0000  0.0000 [4 per cell]
Ag  0.0012  0.2500  0.6250 [8 per cell]
Te  0.0000  0.0000  0.5000 [4 per cell]

Results
- crystal system = tetragonal
- total DFT energy (no corrections) (eV per atom) = -2.660

Computed, not measured: an optimized crystal structure of SmErOs4 at the GGA-PBE level of DFT.

Lattice parameters (Å, degrees): 7.5997 7.5997 7.5997 90.00 90.00 90.00
Space group F-43m (No. 216)
Symmetry-distinct sites (fractional):
Sm  0.0000  0.0000  0.0000 [4 per cell]
Er  0.2500  0.2500  0.7500 [4 per cell]
Os  0.1248  0.1248  0.3752 [16 per cell]

Results
- crystal system = cubic
- formation energy (eV/atom) = -0.226

| no. | DOS at the Fermi energy (states/eV/atom) | calculated density (g/cm³) | total magnetic moment (μB/f.u.) |
| --- | --- | --- | --- |
| 1 | 0.390 | 5.5 | 0.000 |
| 2 | 0.851 | 7.7 | 0.000 |
| 3 | 1.152 | 5.9 | 0.000 |
| 4 | 1.241 | 7.7 | 0.000 |
| 5 | 0.641 | 4.1 | 1.103 |
| 6 | 0.303 | 5.2 | 0.000 |
| 7 | 0.145 | 4.6 | 0.000 |
| 8 | 0.978 | 16.3 | 0.000 |